Here is an optimized crystal structure of LiRe2Ni2 from Alexandria via LeMat-Bulk. Energies are from GGA-PBE.

formation energy from the elements: 0.214 eV per atom
DOS(E_F): 0.8089 states/eV per atom
calculated volume: 14.3 A^3/atom

Lattice parameters (Å, degrees): 7.4805 7.4805 2.5572 90.00 90.00 90.00
Fractional coordinates of all 10 atoms:
Re 0.8780 0.3780 0.5000
Re 0.6220 0.8780 0.5000
Re 0.1220 0.6220 0.5000
Re 0.3780 0.1220 0.5000
Li 0.5000 0.5000 0.0000
Li 0.0000 0.0000 0.0000
Ni 0.8295 0.6705 0.0000
Ni 0.1705 0.3295 0.0000
Ni 0.3295 0.8295 0.0000
Ni 0.6705 0.1705 0.0000